Record 1
# SnI

A relaxed structure of SnI (PBE, the Alexandria database).

Values from the calculation:
The final energy comes out at -2.9859 eV per atom. The uncorrected formation energy comes out at -0.21 eV per atom. For the calculated volume, the calculation gives 45.13 Å³/atom. Its space-group type is No. 2.

```
SnI
1.0
4.2755 0.0000 0.0000
-2.1313 4.7207 0.0000
-0.1521 -0.9886 8.9439
Sn I
2 2
Direct
0.1552 0.3056 0.0636 Sn
0.8448 0.6944 0.9364 Sn
0.3672 0.7565 0.7012 I
0.6328 0.2435 0.2988 I
```

***

Record 2
# SrSi2Au

A relaxed structure of SrSi2Au (PBE, the Alexandria database).

Values from the calculation:
The final energy comes out at -4.0279 eV per atom. The uncorrected formation energy comes out at -0.08 eV per atom. For the calculated volume, the calculation gives 21.89 Å³/atom. Its space-group type is No. 47.

```
SrSi2Au
1.0
3.6007 0.0000 0.0000
0.0000 3.6783 0.0000
0.0000 0.0000 6.6106
Sr Si Au
1 2 1
Direct
0.0000 0.0000 0.0000 Sr
0.5000 0.5000 0.3258 Si
0.5000 0.5000 0.6742 Si
0.0000 0.0000 0.5000 Au
```